Record 1
DFT (meta-GGA SCAN) results for a crystal of CrHgIrO2 relaxed with PBEsol.

```
data_CrHgIrO2
_chemical_formula_sum 'Cr1 Hg1 Ir1 O2'
_symmetry_space_group_name_H-M 'P 4/m m m'
_symmetry_Int_Tables_number 123
_symmetry_space_group_name_Hall '-P 4 2'
_cell_length_a 3.752
_cell_length_b 3.752
_cell_length_c 6.178
_cell_angle_alpha 90.00
_cell_angle_beta 90.00
_cell_angle_gamma 90.00
loop_
_atom_site_label
_atom_site_type_symbol
_atom_site_fract_x
_atom_site_fract_y
_atom_site_fract_z
_atom_site_occupancy
Cr1 Cr 0.000 0.000 0.000 1
Hg1 Hg 0.500 0.500 0.000 1
Ir1 Ir 0.500 0.500 0.500 1
O1 O 0.000 0.500 0.500 1
```

## Properties
Formation energy without anion corrections   -0.0209 eV per atom

Record 2
DFT (meta-GGA SCAN) results for a crystal of CrHgIrPt2 relaxed with PBEsol.

```
data_CrHgIrPt2
_chemical_formula_sum 'Cr1 Hg1 Ir1 Pt2'
_symmetry_space_group_name_H-M 'P 4/m m m'
_symmetry_Int_Tables_number 123
_symmetry_space_group_name_Hall '-P 4 2'
_cell_length_a 4.412
_cell_length_b 4.412
_cell_length_c 4.791
_cell_angle_alpha 90.00
_cell_angle_beta 90.00
_cell_angle_gamma 90.00
loop_
_atom_site_label
_atom_site_type_symbol
_atom_site_fract_x
_atom_site_fract_y
_atom_site_fract_z
_atom_site_occupancy
Cr1 Cr 0.000 0.000 0.000 1
Hg1 Hg 0.000 0.000 0.500 1
Ir1 Ir 0.500 0.500 0.500 1
Pt1 Pt 0.000 0.500 0.000 1
```

## Properties
DFT formation energy   36.39 kcal/mol of atoms

Please write out number 2 again, unchanged.
DFT (meta-GGA SCAN) results for a crystal of CrHgIrPt2 relaxed with PBEsol.

```
data_CrHgIrPt2
_chemical_formula_sum 'Cr1 Hg1 Ir1 Pt2'
_symmetry_space_group_name_H-M 'P 4/m m m'
_symmetry_Int_Tables_number 123
_symmetry_space_group_name_Hall '-P 4 2'
_cell_length_a 4.412
_cell_length_b 4.412
_cell_length_c 4.791
_cell_angle_alpha 90.00
_cell_angle_beta 90.00
_cell_angle_gamma 90.00
loop_
_atom_site_label
_atom_site_type_symbol
_atom_site_fract_x
_atom_site_fract_y
_atom_site_fract_z
_atom_site_occupancy
Cr1 Cr 0.000 0.000 0.000 1
Hg1 Hg 0.000 0.000 0.500 1
Ir1 Ir 0.500 0.500 0.500 1
Pt1 Pt 0.000 0.500 0.000 1
```

## Properties
DFT formation energy   36.39 kcal/mol of atoms